Entry from Alexandria via LeMat-Bulk: a geometry-optimized RbCa2Os structure (PBE).

abc: 5.3481 5.3481 5.3481
angles: 60.00 60.00 60.00
With the nearest neighbours (Å) after each atom.
Positions (direct):
Rb 0.0000 0.0000 0.0000  8 Ca 3.28
Os 0.5000 0.5000 0.5000  8 Ca 3.28
Ca 0.7500 0.7500 0.7500  4 Os 3.28, 4 Rb 3.28
Ca 0.2500 0.2500 0.2500  4 Os 3.28, 4 Rb 3.28

Entry from Alexandria via LeMat-Bulk: a geometry-optimized Tb2P3PtRh4 structure (PBE).

abc: 3.9530 3.9530 10.7183
angles: 90.00 90.00 90.00
With the nearest neighbours (Å) after each atom.
Positions (direct):
Rh 0.5000 0.5000 0.0000  4 P 2.39
Rh 0.5000 0.0000 0.6689  1 P 2.21
P 0.5000 0.0000 0.8748  5 Rh 2.21-2.39
Tb 0.5000 0.0000 0.2609  4 Rh 2.89, 6 P 3.15-3.24, 2 Pt 3.24
Pt 0.5000 0.5000 0.5000  4 Rh 2.68, 4 P 2.80
P 0.0000 0.5000 0.1252  5 Rh 2.21-2.39
Rh 0.0000 0.0000 0.0000  4 P 2.39
Tb 0.0000 0.5000 0.7391  4 Rh 2.89, 6 P 3.15-3.24, 2 Pt 3.24
Rh 0.0000 0.5000 0.3311  1 P 2.21
P 0.0000 0.0000 0.5000  4 Rh 2.68, 4 Pt 2.80

Entry from Alexandria via LeMat-Bulk: a geometry-optimized ErTm2Cd2In2 structure (PBE).

abc: 4.9261 4.9261 9.2089
angles: 74.49 74.49 60.00
With the nearest neighbours (Å) after each atom.
Positions (direct):
Er 0.0000 0.0000 0.0000  6 Cd 3.28, 2 Tm 3.37, 6 In 3.46
Cd 0.6044 0.6044 0.1868  3 In 2.86
In 0.7419 0.7419 0.7743  3 Cd 2.86, 3 Tm 3.17
Tm 0.1282 0.1282 0.6153  4 In 3.17-3.41, 3 Cd 3.33, 1 Er 3.37, 3 Tm 3.49
Tm 0.8718 0.8718 0.3847  4 In 3.17-3.41, 3 Cd 3.33, 1 Er 3.37, 3 Tm 3.49
In 0.2581 0.2581 0.2257  3 Cd 2.86, 3 Tm 3.17
Cd 0.3956 0.3956 0.8132  3 In 2.86

Entry from Alexandria via LeMat-Bulk: a geometry-optimized Tb9Y4In11 structure (PBE).

abc: 3.4775 13.8266 13.8266
angles: 100.31 90.00 90.00
With the nearest neighbours (Å) after each atom.
Positions (direct):
In 0.0000 0.9357 0.5807  1 In 3.09, 2 Y 3.23, 6 Tb 3.33-3.36
Y 0.5000 0.4293 0.2625  6 In 3.21-3.43, 2 Tb 3.25-3.40, 3 Y 3.48-3.54
Y 0.5000 0.7375 0.5707  6 In 3.21-3.43, 2 Tb 3.25-3.40, 3 Y 3.48-3.54
Y 0.5000 0.2625 0.4293  6 In 3.21-3.43, 2 Tb 3.25-3.40, 3 Y 3.48-3.54
Tb 0.5000 0.1441 0.6247  8 In 3.28-3.48, 1 Y 3.40, 3 Tb 3.48-3.63
In 0.0000 0.7687 0.7687  4 Y 3.21, 4 Tb 3.24, 2 In 3.48
In 0.0000 0.0000 0.0000  8 Tb 3.32, 4 In 3.48-3.63
In 0.0000 0.6361 0.3639  6 Tb 3.37-3.48, 4 Y 3.43, 2 In 3.48
Tb 0.5000 0.5000 0.5000  4 Y 3.25, 4 In 3.37, 2 Tb 3.48
Tb 0.5000 0.9697 0.7919  8 In 3.24-3.36, 3 Tb 3.48-3.63
Tb 0.5000 0.6247 0.1441  8 In 3.28-3.48, 1 Y 3.40, 3 Tb 3.48-3.63
In 0.0000 0.4193 0.0643  1 In 3.09, 2 Y 3.23, 6 Tb 3.33-3.36
In 0.0000 0.1708 0.8292  8 Tb 3.24-3.28, 3 In 3.48-3.63
In 0.0000 0.0643 0.4193  1 In 3.09, 2 Y 3.23, 6 Tb 3.33-3.36
In 0.0000 0.5807 0.9357  1 In 3.09, 2 Y 3.23, 6 Tb 3.33-3.36
In 0.0000 0.8292 0.1708  8 Tb 3.24-3.28, 3 In 3.48-3.63
In 0.0000 0.3639 0.6361  6 Tb 3.37-3.48, 4 Y 3.43, 2 In 3.48
Y 0.5000 0.5707 0.7375  6 In 3.21-3.43, 2 Tb 3.25-3.40, 3 Y 3.48-3.54
Tb 0.5000 0.3753 0.8559  8 In 3.28-3.48, 1 Y 3.40, 3 Tb 3.48-3.63
Tb 0.5000 0.0303 0.2081  8 In 3.24-3.36, 3 Tb 3.48-3.63
Tb 0.5000 0.2081 0.0303  8 In 3.24-3.36, 3 Tb 3.48-3.63
Tb 0.5000 0.8559 0.3753  8 In 3.28-3.48, 1 Y 3.40, 3 Tb 3.48-3.63
In 0.0000 0.2313 0.2313  4 Y 3.21, 4 Tb 3.24, 2 In 3.48
Tb 0.5000 0.7919 0.9697  8 In 3.24-3.36, 3 Tb 3.48-3.63

Entry from Alexandria via LeMat-Bulk: a geometry-optimized Li2BeAl structure (PBE).

abc: 9.0623 9.0623 9.0623
angles: 17.62 17.62 17.62
With the nearest neighbours (Å) after each atom.
Positions (direct):
Be 0.7530 0.7530 0.7530  3 Al 2.52, 3 Li 2.63, 6 Be 2.78
Li 0.2463 0.2463 0.2463  9 Li 2.78-3.01, 3 Al 2.83
Al 0.4924 0.4924 0.4924  3 Be 2.52, 6 Al 2.78
Li 0.0082 0.0082 0.0082  3 Be 2.63, 6 Li 2.78

Entry from Alexandria via LeMat-Bulk: a geometry-optimized Ta2P structure (PBE).

abc: 3.3717 3.2762 9.1559
angles: 90.00 90.00 90.00
With the nearest neighbours (Å) after each atom.
Positions (direct):
Ta 0.0000 0.5000 0.4708  6 P 2.52-2.56
P 0.5000 0.5000 0.2663  7 Ta 2.52-2.69
Ta 0.0000 0.0000 0.7909  2 P 2.55
Ta 0.5000 0.5000 0.9726  1 P 2.69, 8 Ta 2.88-2.91
Ta 0.0000 0.0000 0.1601  4 P 2.54
P 0.5000 0.0000 0.5821  6 Ta 2.55-2.56

Entry from Alexandria via LeMat-Bulk: a geometry-optimized TbTmGa2 structure (PBE).

abc: 4.3430 4.0304 5.8328
angles: 90.00 111.83 90.00
With the nearest neighbours (Å) after each atom.
Positions (direct):
Ga 0.0066 0.0000 0.5513  2 Ga 2.62
Tb 0.4433 0.5000 0.4248  7 Ga 3.04-3.21
Tm 0.7208 0.0000 0.9813  7 Ga 3.03-3.19
Ga 0.1603 0.5000 0.8606  2 Ga 2.62

Entry from Alexandria via LeMat-Bulk: a geometry-optimized CaDyHg2 structure (PBE).

abc: 3.9144 3.9144 9.1109
angles: 77.59 77.59 60.00
With the nearest neighbours (Å) after each atom.
Positions (direct):
Hg 0.2476 0.2476 0.2572  3 Dy 3.11, 3 Ca 3.20
Hg 0.0859 0.0859 0.7424  3 Dy 3.11, 3 Ca 3.21
Dy 0.5001 0.5001 0.4998  6 Hg 3.11
Ca 0.6665 0.6665 0.0006  6 Hg 3.20-3.21

Calculated electronic total energy, -3.24 -7.04 -3.19 -4.47 -2.67 -10.25 -4.41 -2.17 eV/atom (same order as the records).
Calculated ΔE_f, 0.805 -0.946 -0.213 -0.400 0.149 -0.546 -0.626 -0.367 eV per atom (same order as the records).